K2LiVPt | PBE-GGA | optimized geometry

CIF file:
```
data_K2LiVPt
_symmetry_space_group_name_H-M 'P 1'
_symmetry_Int_Tables_number 1
_cell_length_a 5.300
_cell_length_b 5.300
_cell_length_c 5.055
_cell_angle_alpha 90.00
_cell_angle_beta 90.00
_cell_angle_gamma 90.00
loop_
_symmetry_equiv_pos_as_xyz
'x,y,z'
loop_
_atom_site_label
_atom_site_type_symbol
_atom_site_fract_x
_atom_site_fract_y
_atom_site_fract_z
K1 K 0.000 0.500 0.000
K2 K 0.500 0.000 0.000
Li1 Li 0.000 0.000 0.000
V1 V 0.000 0.000 0.500
Pt1 Pt 0.500 0.500 0.500
```

Calculated values
The mass density is 3.873 g/cm³. The calculation puts the energy at -2.711 eV per atom. The value obtained for the density of states at the Fermi level is 3.9 states/eV per cell. As for the formation energy: 110.28 kJ per mole of atoms. The total moment comes out at 3.90 μB per formula unit. The symmetry is No. 123.